No. 1
This record from the Alexandria database describes crystalline NaTlSn2Bi at its relaxed geometry. The functional is GGA-PBE.

abc: 8.7317 8.7317 6.3111
angles: 90.00 90.00 137.60
Element x y z (fractional)
Na1 0.2484 0.7516 0.7500
Na2 0.7516 0.2484 0.2500
Tl1 0.1464 0.8536 0.2500
Tl2 0.8536 0.1464 0.7500
Sn1 0.2566 0.2566 0.0000
Sn2 0.2566 0.2566 0.5000
Sn3 0.7434 0.7434 0.0000
Sn4 0.7434 0.7434 0.5000
Bi1 0.3456 0.6544 0.2500
Bi2 0.6544 0.3456 0.7500

Output
spin magnetization	0.00	μB per formula unit
density of states at the Fermi level	0.480	states/eV per atom
symmetry	Cmcm (63)


No. 2
This record from the Alexandria database describes crystalline Na2Tl2SnBi2 at its relaxed geometry. The functional is GGA-PBE.

abc: 5.4716 5.4716 9.1644
angles: 107.26 107.26 59.95
Element x y z (fractional)
Na1 0.1069 0.1069 0.3220
Na2 0.8931 0.8931 0.6780
Tl1 0.3694 0.3694 0.1067
Tl2 0.6306 0.6306 0.8933
Sn1 0.5000 0.5000 0.5000
Bi1 0.2384 0.2384 0.7139
Bi2 0.7616 0.7616 0.2861

Output
spin magnetization	0.00	μB per formula unit
density of states at the Fermi level	0.114	states/eV per atom
symmetry	C2/m (12)


No. 3
This record from the Alexandria database describes crystalline NaTl2SnBi2 at its relaxed geometry. The functional is GGA-PBE.

abc: 5.5529 9.5614 7.1427
angles: 90.00 90.00 90.00
Element x y z (fractional)
Na1 0.0000 0.0103 0.0000
Na2 0.0000 0.9897 0.5000
Tl1 0.0000 0.3325 0.2742
Tl2 0.0000 0.6675 0.7742
Tl3 0.5000 0.4773 0.0109
Tl4 0.5000 0.5227 0.5109
Sn1 0.5000 0.1742 0.6937
Sn2 0.5000 0.8258 0.1937
Bi1 0.0000 0.3187 0.7698
Bi2 0.0000 0.6813 0.2698
Bi3 0.5000 0.1452 0.2598
Bi4 0.5000 0.8548 0.7598

Output
spin magnetization	0.00	μB per formula unit
density of states at the Fermi level	0.428	states/eV per atom
symmetry	Pmc2_1 (26)


No. 4
This record from the Alexandria database describes crystalline NaYSnBi at its relaxed geometry. The functional is GGA-PBE.

abc: 5.4337 5.4337 5.4337
angles: 60.00 60.00 60.00
Element x y z (fractional)
Na1 0.0000 0.0000 0.0000
Y1 0.5000 0.5000 0.5000
Sn1 0.2500 0.2500 0.2500
Bi1 0.7500 0.7500 0.7500

Output
spin magnetization	0.00	μB per formula unit
density of states at the Fermi level	1.046	states/eV per atom
symmetry	F-43m (216)


No. 5
This record from the Alexandria database describes crystalline NaY2SnBi at its relaxed geometry. The functional is GGA-PBE.

abc: 5.4957 5.4957 5.2462
angles: 90.00 90.00 90.00
Element x y z (fractional)
Na1 0.0000 0.0000 0.0000
Y1 0.0000 0.5000 0.0000
Y2 0.5000 0.0000 0.0000
Sn1 0.5000 0.5000 0.5000
Bi1 0.0000 0.0000 0.5000

Output
spin magnetization	0.00	μB per formula unit
density of states at the Fermi level	0.623	states/eV per atom
symmetry	P4/mmm (123)


No. 6
This record from the Alexandria database describes crystalline Na2Sr2Bi at its relaxed geometry. The functional is GGA-PBE.

abc: 10.8785 10.8785 10.8785
angles: 156.51 156.51 33.46
Element x y z (fractional)
Na1 0.2500 0.7500 0.5000
Na2 0.7500 0.2500 0.5000
Sr1 0.0839 0.0839 0.0000
Sr2 0.9161 0.9161 0.0000
Bi1 0.5000 0.5000 0.0000

Output
spin magnetization	0.00	μB per formula unit
density of states at the Fermi level	0.863	states/eV per atom
symmetry	I4/mmm (139)
energy above the most stable polymorph in this dataset	0.0	meV/atom


No. 7
This record from the Alexandria database describes crystalline Na2SrBi at its relaxed geometry. The functional is GGA-PBE.

abc: 4.9301 4.9301 5.6039
angles: 90.00 90.00 90.00
Element x y z (fractional)
Na1 0.0000 0.5000 0.0000
Na2 0.5000 0.0000 0.0000
Sr1 0.0000 0.0000 0.5000
Bi1 0.5000 0.5000 0.5000

Output
spin magnetization	0.79	μB per formula unit
density of states at the Fermi level	0.285	states/eV per atom
symmetry	P4/mmm (123)


No. 8
This record from the Alexandria database describes crystalline NaSr3Bi at its relaxed geometry. The functional is GGA-PBE.

abc: 6.5104 6.5104 6.5104
angles: 90.00 90.00 90.00
Element x y z (fractional)
Na1 0.0000 0.0000 0.0000
Sr1 0.0000 0.5000 0.5000
Sr2 0.5000 0.0000 0.5000
Sr3 0.5000 0.5000 0.0000
Bi1 0.5000 0.5000 0.5000

Output
spin magnetization	0.25	μB per formula unit
density of states at the Fermi level	0.969	states/eV per atom
symmetry	Pm-3m (221)
energy above the most stable polymorph in this dataset	0.0	meV/atom


no.,calculated formation energy (meV per atom)
1,-9
2,-110
3,-106
4,-351
5,492
6,-258
7,-390
8,-266